{"formula": "AgMoIO2", "functional": "PBE with a Hubbard U", "state": "relaxed", "space_group": "P4/mmm (123)", "volume_a3_per_cell": 116.21, "dos_ef_per_ev_atom": 0.30, "total_magnetization_mub_per_cell": 1.99, "de_polymorph_mev_per_atom": 0.0, "lattice": [[3.963, 0.000, 0.000], [0.000, 3.963, 0.000], [0.000, 0.000, 7.398]], "species": ["Ag", "Mo", "I", "O", "O"], "frac_coords": [[0.000, 0.000, 0.000], [0.500, 0.500, 0.500], [0.500, 0.500, 0.000], [0.000, 0.500, 0.500], [0.500, 0.000, 0.500]]}